NaZn2ClO | Alexandria via LeMat-Bulk | GGA-PBE | optimized geometry; DOS at the Fermi energy = 1.89 states/eV/f.u.; space-group type = No. 123; uncorrected formation energy = 1.941 eV per formula unit
1.0
-1.395 0.016 -4.612
-4.285 -1.331 1.292
-1.310 4.619 0.412
Zn O Na Cl
2 1 1 1
direct
0.500 0.000 0.000
0.000 0.000 0.500
0.000 0.500 0.000
0.500 0.500 0.500
0.000 0.000 0.000